1.
LiFe2Pb | GGA-PBEsol | optimized geometry

Output
SG: R-3m (166)
Formation energy from the elements (kJ/mol of atoms): 77.6

Cell lengths 2.952, 2.952, 26.836 Å; angles 90.00, 90.00, 120.00 degrees
Fractional coordinates of all 12 atoms:
Li: 0.000 0.000 0.000
Li: 0.333 0.667 0.667
Li: 0.667 0.333 0.333
Fe: 0.000 0.000 0.252
Fe: 0.000 0.000 0.748
Fe: 0.333 0.667 0.414
Fe: 0.333 0.667 0.919
Fe: 0.667 0.333 0.081
Fe: 0.667 0.333 0.586
Pb: 0.000 0.000 0.500
Pb: 0.333 0.667 0.167
Pb: 0.667 0.333 0.833


2.
NaLi2ScHg | GGA-PBEsol | optimized geometry

Output
SG: P4/mmm (123)
Formation energy from the elements (kJ/mol of atoms): 52.9

Cell lengths 4.537, 4.537, 5.663 Å; angles 90.00, 90.00, 90.00 degrees
Fractional coordinates of all 5 atoms:
Na: 0.000 0.000 0.000
Li: 0.000 0.500 0.000
Li: 0.500 0.000 0.000
Sc: 0.000 0.000 0.500
Hg: 0.500 0.500 0.500


3.
Tm2Sn2O7 | GGA-PBEsol | optimized geometry

Output
Energy relative to the elements, uncorrected (meV/atom): -2648
SG: Fd-3m (227)

Cell lengths 7.279, 7.279, 7.279 Å; angles 60.00, 60.00, 60.00 degrees
Fractional coordinates of all 22 atoms:
Tm: 0.000 0.000 0.000
Tm: 0.000 0.000 0.500
Tm: 0.000 0.500 0.000
Tm: 0.500 0.000 0.000
Sn: 0.000 0.500 0.500
Sn: 0.500 0.000 0.500
Sn: 0.500 0.500 0.000
Sn: 0.500 0.500 0.500
O: 0.125 0.125 0.125
O: 0.158 0.158 0.592
O: 0.158 0.592 0.158
O: 0.158 0.592 0.592
O: 0.408 0.408 0.842
O: 0.408 0.842 0.408
O: 0.408 0.842 0.842
O: 0.592 0.158 0.158
O: 0.592 0.158 0.592
O: 0.592 0.592 0.158
O: 0.842 0.408 0.408
O: 0.842 0.408 0.842
O: 0.842 0.842 0.408
O: 0.875 0.875 0.875


4.
MgSc | GGA-PBEsol | optimized geometry

Output
SG: Pm-3m (221)
Formation energy from the elements (kJ/mol of atoms): -3.1

Cell lengths 3.563, 3.563, 3.563 Å; angles 90.00, 90.00, 90.00 degrees
Fractional coordinates of all 2 atoms:
Mg: 0.000 0.000 0.000
Sc: 0.500 0.500 0.500


Number 1: D(E_F) 15.14 states/eV per cell. Number 2: D(E_F) 3.69 states/eV per cell. Number 3: D(E_F) 0.00 states/eV per cell. Number 4: D(E_F) 2.68 states/eV per cell.